Record 1
PrPaIn2: relaxed, PBE-GGA.

Cell: 4.5974 4.8694 4.8694 Å, 90.00 90.00 90.00°
Each line ends with the local moment (μB).
Positions (direct):
Pa  0.5000  0.5000  0.5000  0.66
In  0.0000  0.0000  0.5000  0.00
In  0.0000  0.5000  0.0000  0.00
Pr  0.5000  0.0000  0.0000  0.10

Formation energy from the elements ... -124 meV/atom
ΔE to the lowest computed polymorph ... 80 meV/atom
Calculated total energy ... -5.0622 eV/atom
Space group ... P4/mmm, No. 123



Record 2
PrPaIn2: relaxed, PBE-GGA.

Cell: 3.3301 3.3301 11.4543 Å, 81.64 81.64 60.00°
Positions (direct):
In  0.7484  0.7484  0.7547
In  0.2516  0.2516  0.2453
Pr  0.5000  0.5000  0.5000
Pa  0.0000  0.0000  0.0000

Formation energy from the elements ... -92 meV/atom
ΔE to the lowest computed polymorph ... 113 meV/atom
Calculated total energy ... -5.0296 eV/atom
Space group ... R-3m, No. 166



Record 3
Pr2PaIn9: relaxed, PBE-GGA.

Cell: 4.7009 4.7009 14.1150 Å, 90.00 90.00 90.00°
Each line ends with the local moment (μB).
Positions (direct):
In  0.5000  0.5000  0.6683  0.00
In  0.0000  0.5000  0.1623  0.01
In  0.0000  0.5000  0.8377  0.01
In  0.5000  0.0000  0.5000  -0.01
In  0.5000  0.0000  0.8377  0.01
In  0.5000  0.5000  0.0000  0.01
In  0.5000  0.5000  0.3317  0.00
In  0.0000  0.5000  0.5000  -0.01
In  0.5000  0.0000  0.1623  0.01
Pa  0.0000  0.0000  0.0000  0.63
Pr  0.0000  0.0000  0.3311  0.00
Pr  0.0000  0.0000  0.6689  0.00

Formation energy from the elements ... -364 meV/atom
Calculated total energy ... -4.0055 eV/atom
Space group ... P4/mmm, No. 123



Record 4
PrPaIn6: relaxed, PBE-GGA.

Cell: 4.6899 4.6899 9.3669 Å, 90.00 90.00 90.00°
Each line ends with the local moment (μB).
Positions (direct):
In  0.5000  0.0000  0.2543  0.01
In  0.0000  0.5000  0.2543  0.01
In  0.5000  0.5000  0.0000  0.00
In  0.0000  0.5000  0.7457  0.01
In  0.5000  0.0000  0.7457  0.01
In  0.5000  0.5000  0.5000  0.02
Pa  0.0000  0.0000  0.5000  0.74
Pr  0.0000  0.0000  0.0000  0.01

Formation energy from the elements ... -304 meV/atom
Calculated total energy ... -4.1426 eV/atom
Space group ... P4/mmm, No. 123



Record 5
PrPa2In9: relaxed, PBE-GGA.

Cell: 4.6742 4.6742 14.0234 Å, 90.00 90.00 90.00°
Each line ends with the local moment (μB).
Positions (direct):
In  0.5000  0.5000  0.0000  0.00
In  0.0000  0.5000  0.5000  0.02
In  0.5000  0.5000  0.3354  0.02
In  0.5000  0.0000  0.5000  0.02
In  0.0000  0.5000  0.8292  0.01
In  0.5000  0.0000  0.1708  0.01
In  0.5000  0.0000  0.8292  0.01
In  0.0000  0.5000  0.1708  0.01
In  0.5000  0.5000  0.6646  0.02
Pa  0.0000  0.0000  0.6644  0.83
Pa  0.0000  0.0000  0.3356  0.83
Pr  0.0000  0.0000  0.0000  0.01

Formation energy from the elements ... -247 meV/atom
Calculated total energy ... -4.2816 eV/atom
Space group ... P4/mmm, No. 123



Record 6
PrPaIn2: relaxed, PBE-GGA.

Cell: 3.3967 3.3967 9.3385 Å, 90.00 90.00 90.00°
Positions (direct):
In  0.0000  0.0000  0.2577
In  0.0000  0.0000  0.7423
Pr  0.5000  0.5000  0.0000
Pa  0.5000  0.5000  0.5000

Formation energy from the elements ... -204 meV/atom
ΔE to the lowest computed polymorph ... 0 meV/atom
Calculated total energy ... -5.1422 eV/atom
Space group ... P4/mmm, No. 123



Record 7
Pa2InPt: relaxed, PBE-GGA.

Cell: 3.2485 3.2485 8.7543 Å, 90.00 90.00 90.00°
Positions (direct):
Pt  0.5000  0.5000  0.0000
In  0.5000  0.5000  0.5000
Pa  0.0000  0.0000  0.2229
Pa  0.0000  0.0000  0.7771

Formation energy from the elements ... -442 meV/atom
ΔE to the lowest computed polymorph ... 0 meV/atom
Calculated total energy ... -7.3852 eV/atom
Space group ... P4/mmm, No. 123



Record 8
PaIn2Pt: relaxed, PBE-GGA.

Cell: 4.8261 4.8261 8.0420 Å, 90.00 90.00 90.00°
Positions (direct):
Pt  0.0000  0.0000  0.0000
Pt  0.5000  0.5000  0.0000
Pa  0.0000  0.5000  0.1954
Pa  0.5000  0.0000  0.8046
In  0.0000  0.5000  0.7662
In  0.0000  0.0000  0.5000
In  0.5000  0.0000  0.2338
In  0.5000  0.5000  0.5000

Formation energy from the elements ... -414 meV/atom
ΔE to the lowest computed polymorph ... 0 meV/atom
Calculated total energy ... -5.6673 eV/atom
Space group ... P4/nmm, No. 129



Question: Among the records above, which one has the lowest formation energy from the elements?
Answer: Pa2InPt



Question: Which value of calculated total energy does entry 1 give?
Answer: -5.0622 eV/atom



Question: Look up the formation energy from the elements of the third one.
Answer: -364 meV/atom



Question: Among the records above, which one has the highest calculated total energy?
Answer: Pr2PaIn9